1.
Entry from Alexandria: SrHfIF2 after structural relaxation (PBE-GGA).

a = 4.343 Å, b = 4.343 Å, c = 7.280 Å
α = 90.00°, β = 90.00°, γ = 90.00°
Space group P4/mmm (No. 123)
Symmetry-distinct sites (fractional):
Sr1 0.000 0.000 0.000 [1 per cell]
Hf1 0.000 0.000 0.500 [1 per cell]
I1 0.500 0.500 0.000 [1 per cell]
F1 0.000 0.500 0.500 [2 per cell]

Fermi-level density of states: 3.6 states/eV per cell
formation energy (no corrections): -182.6 kJ/mol of atoms
raw total energy: -5.2784 eV per atom

2.
Entry from Alexandria: NaOsRh2 after structural relaxation (PBE-GGA).

a = 7.238 Å, b = 7.238 Å, c = 5.507 Å
α = 90.00°, β = 90.00°, γ = 90.00°
Space group I-42d (No. 122)
Symmetry-distinct sites (fractional):
Na1 0.000 0.000 0.000 [4 per cell]
Os1 0.000 0.000 0.500 [4 per cell]
Rh1 0.199 0.250 0.625 [8 per cell]

Fermi-level density of states: 20.0 states/eV per cell
energy above the most stable polymorph in this dataset: 224 meV per atom
E_form: 0.811 eV per atom
raw total energy: -6.0023 eV per atom

3.
Entry from Alexandria: NaScC after structural relaxation (PBE-GGA).

a = 13.089 Å, b = 3.922 Å, c = 5.348 Å
α = 90.00°, β = 108.68°, γ = 90.00°
Space group Cm (No. 8)
Symmetry-distinct sites (fractional):
Na1 0.000 0.000 0.000 [2 per cell]
Na2 0.051 0.500 0.534 [2 per cell]
Sc1 0.268 0.000 0.840 [2 per cell]
Sc2 0.278 0.500 0.344 [2 per cell]
C1 0.198 0.000 0.414 [2 per cell]
C2 0.205 0.000 0.164 [2 per cell]

Fermi-level density of states: 8.2 states/eV per cell
energy above the most stable polymorph in this dataset: 241 meV per atom
E_form: 0.098 eV per atom
raw total energy: -5.5270 eV per atom

4.
Entry from Alexandria: Rb2SrPuI6 after structural relaxation (PBE-GGA).

a = 8.544 Å, b = 9.068 Å, c = 15.034 Å
α = 90.00°, β = 124.39°, γ = 90.00°
Space group P2_1/c (No. 14)
Symmetry-distinct sites (fractional):
Rb1 0.219 0.082 0.249 [4 per cell]
Sr1 0.500 0.000 0.000 [2 per cell]
Pu1 0.000 0.000 0.500 [2 per cell]
I1 0.132 0.199 0.944 [4 per cell]
I2 0.250 0.694 0.944 [4 per cell]
I3 0.358 0.029 0.747 [4 per cell]

Fermi-level density of states: 40.1 states/eV per cell
formation energy (no corrections): -135.3 kJ/mol of atoms
raw total energy: -4.1272 eV per atom

5.
Entry from Alexandria: YHfMo after structural relaxation (PBE-GGA).

a = 16.164 Å, b = 3.394 Å, c = 5.036 Å
α = 90.00°, β = 96.41°, γ = 90.00°
Space group C2/m (No. 12)
Symmetry-distinct sites (fractional):
Y1 0.212 0.000 0.237 [4 per cell]
Hf1 0.084 0.000 0.698 [4 per cell]
Mo1 0.047 0.500 0.205 [4 per cell]

Fermi-level density of states: 10.1 states/eV per cell
energy above the most stable polymorph in this dataset: 41 meV per atom
E_form: 0.153 eV per atom
raw total energy: -8.9301 eV per atom

6.
Entry from Alexandria: CuH2Pd3 after structural relaxation (PBE-GGA).

a = 5.587 Å, b = 9.637 Å, c = 2.820 Å
α = 90.00°, β = 118.45°, γ = 90.00°
Space group C2/m (No. 12)
Symmetry-distinct sites (fractional):
Cu1 0.000 0.000 0.000 [2 per cell]
H1 0.000 0.372 0.500 [4 per cell]
Pd1 0.000 0.500 0.000 [2 per cell]
Pd2 0.250 0.250 0.500 [4 per cell]

Fermi-level density of states: 5.1 states/eV per cell
energy above the most stable polymorph in this dataset: 35 meV per atom
raw total energy: -4.4326 eV per atom

Copy entry 3 word for word.
Entry from Alexandria: NaScC after structural relaxation (PBE-GGA).

a = 13.089 Å, b = 3.922 Å, c = 5.348 Å
α = 90.00°, β = 108.68°, γ = 90.00°
Space group Cm (No. 8)
Symmetry-distinct sites (fractional):
Na1 0.000 0.000 0.000 [2 per cell]
Na2 0.051 0.500 0.534 [2 per cell]
Sc1 0.268 0.000 0.840 [2 per cell]
Sc2 0.278 0.500 0.344 [2 per cell]
C1 0.198 0.000 0.414 [2 per cell]
C2 0.205 0.000 0.164 [2 per cell]

Fermi-level density of states: 8.2 states/eV per cell
energy above the most stable polymorph in this dataset: 241 meV per atom
E_form: 0.098 eV per atom
raw total energy: -5.5270 eV per atom

Question: What is the formula in the third record?
Answer: NaScC